(P)
# AlInSN2, optimized geometry, DFT PBE-GGA
# N(E_F), states/eV/atom: 0.5251
# Calculated volume, A^3/atom: 19.39
# Total moment, μB per atom: 0.61
data_AlInSN2
_symmetry_space_group_name_H-M 'P 4/m m m'
_symmetry_Int_Tables_number 123
_symmetry_space_group_name_Hall '-P 4 2'
_cell_length_a 4.1836
_cell_length_b 4.1836
_cell_length_c 5.5391
_cell_angle_alpha 90.00
_cell_angle_beta 90.00
_cell_angle_gamma 90.00
loop_
_atom_site_label
_atom_site_type_symbol
_atom_site_fract_x
_atom_site_fract_y
_atom_site_fract_z
Al1 Al 0.0000 0.0000 0.0000
In1 In 0.5000 0.5000 0.5000
S1 S 0.5000 0.5000 0.0000
N1 N 0.0000 0.5000 0.5000

(Q)
# AlInSN2, optimized geometry, DFT PBE-GGA
# N(E_F), states/eV/atom: 0.4793
# Calculated volume, A^3/atom: 15.67
# Total moment, μB per atom: 0.15
data_AlInSN2
_symmetry_space_group_name_H-M 'P 4/m m m'
_symmetry_Int_Tables_number 123
_symmetry_space_group_name_Hall '-P 4 2'
_cell_length_a 3.7336
_cell_length_b 3.7336
_cell_length_c 5.6216
_cell_angle_alpha 90.00
_cell_angle_beta 90.00
_cell_angle_gamma 90.00
loop_
_atom_site_label
_atom_site_type_symbol
_atom_site_fract_x
_atom_site_fract_y
_atom_site_fract_z
Al1 Al 0.0000 0.0000 0.0000
In1 In 0.5000 0.5000 0.5000
S1 S 0.0000 0.0000 0.5000
N1 N 0.0000 0.5000 0.0000

What should be chosen as the most stable of them? Choose (Q).

(P)
# AlInSeN2, optimized geometry, DFT PBE-GGA
# N(E_F), states/eV/atom: 0.4607
# Calculated volume, A^3/atom: 20.43
# Total moment, μB per atom: 0.58
data_AlInSeN2
_symmetry_space_group_name_H-M 'P 4/m m m'
_symmetry_Int_Tables_number 123
_symmetry_space_group_name_Hall '-P 4 2'
_cell_length_a 4.1781
_cell_length_b 4.1781
_cell_length_c 5.8527
_cell_angle_alpha 90.00
_cell_angle_beta 90.00
_cell_angle_gamma 90.00
loop_
_atom_site_label
_atom_site_type_symbol
_atom_site_fract_x
_atom_site_fract_y
_atom_site_fract_z
Al1 Al 0.0000 0.0000 0.0000
In1 In 0.5000 0.5000 0.5000
Se1 Se 0.5000 0.5000 0.0000
N1 N 0.0000 0.5000 0.5000

(Q)
# AlInSeN2, optimized geometry, DFT PBE-GGA
# N(E_F), states/eV/atom: 0.5602
# Calculated volume, A^3/atom: 16.42
# Total moment, μB per atom: 0.15
data_AlInSeN2
_symmetry_space_group_name_H-M 'P 4/m m m'
_symmetry_Int_Tables_number 123
_symmetry_space_group_name_Hall '-P 4 2'
_cell_length_a 3.8055
_cell_length_b 3.8055
_cell_length_c 5.6685
_cell_angle_alpha 90.00
_cell_angle_beta 90.00
_cell_angle_gamma 90.00
loop_
_atom_site_label
_atom_site_type_symbol
_atom_site_fract_x
_atom_site_fract_y
_atom_site_fract_z
Al1 Al 0.0000 0.0000 0.0000
In1 In 0.5000 0.5000 0.5000
Se1 Se 0.0000 0.0000 0.5000
N1 N 0.0000 0.5000 0.0000

What should be chosen as the most stable of them? Choose (Q).

(P)
# AlInTeN2, optimized geometry, DFT PBE-GGA
# N(E_F), states/eV/atom: 0.6132
# Calculated volume, A^3/atom: 22.58
# Total moment, μB per atom: 0.55
data_AlInTeN2
_symmetry_space_group_name_H-M 'P 4/m m m'
_symmetry_Int_Tables_number 123
_symmetry_space_group_name_Hall '-P 4 2'
_cell_length_a 4.2150
_cell_length_b 4.2150
_cell_length_c 6.3536
_cell_angle_alpha 90.00
_cell_angle_beta 90.00
_cell_angle_gamma 90.00
loop_
_atom_site_label
_atom_site_type_symbol
_atom_site_fract_x
_atom_site_fract_y
_atom_site_fract_z
Al1 Al 0.0000 0.0000 0.0000
In1 In 0.5000 0.5000 0.5000
Te1 Te 0.5000 0.5000 0.0000
N1 N 0.0000 0.5000 0.5000

(Q)
# AlInTeN2, optimized geometry, DFT PBE-GGA
# N(E_F), states/eV/atom: 0.5238
# Calculated volume, A^3/atom: 18.54
# Total moment, μB per atom: 0.12
data_AlInTeN2
_symmetry_space_group_name_H-M 'P 4/m m m'
_symmetry_Int_Tables_number 123
_symmetry_space_group_name_Hall '-P 4 2'
_cell_length_a 3.9397
_cell_length_b 3.9397
_cell_length_c 5.9721
_cell_angle_alpha 90.00
_cell_angle_beta 90.00
_cell_angle_gamma 90.00
loop_
_atom_site_label
_atom_site_type_symbol
_atom_site_fract_x
_atom_site_fract_y
_atom_site_fract_z
Al1 Al 0.0000 0.0000 0.0000
In1 In 0.5000 0.5000 0.5000
Te1 Te 0.0000 0.0000 0.5000
N1 N 0.0000 0.5000 0.0000

What should be chosen as the most stable of them? Choose (Q).

(P)
# Na2AlIn2, optimized geometry, DFT PBE-GGA
# N(E_F), states/eV/atom: 0.3862
# Calculated volume, A^3/atom: 27.43
# Total moment, μB per atom: 0.00
data_Na2AlIn2
_symmetry_space_group_name_H-M 'P 4/m b m'
_symmetry_Int_Tables_number 127
_symmetry_space_group_name_Hall '-P 4 2ab'
_cell_length_a 7.2826
_cell_length_b 7.2826
_cell_length_c 5.1711
_cell_angle_alpha 90.00
_cell_angle_beta 90.00
_cell_angle_gamma 90.00
loop_
_atom_site_label
_atom_site_type_symbol
_atom_site_fract_x
_atom_site_fract_y
_atom_site_fract_z
Na1 Na 0.1698 0.3302 0.0000
Al1 Al 0.0000 0.0000 0.5000
In1 In 0.1421 0.6421 0.5000

(Q)
# Na2AlIn2, optimized geometry, DFT PBE-GGA
# N(E_F), states/eV/atom: 0.5268
# Calculated volume, A^3/atom: 26.43
# Total moment, μB per atom: 0.00
data_Na2AlIn2
_symmetry_space_group_name_H-M 'I 4/m m m'
_symmetry_Int_Tables_number 139
_symmetry_space_group_name_Hall '-I 4 2'
_cell_length_a 4.1686
_cell_length_b 4.1686
_cell_length_c 15.2070
_cell_angle_alpha 90.00
_cell_angle_beta 90.00
_cell_angle_gamma 90.00
loop_
_atom_site_label
_atom_site_type_symbol
_atom_site_fract_x
_atom_site_fract_y
_atom_site_fract_z
Na1 Na 0.0000 0.5000 0.2500
Al1 Al 0.0000 0.0000 0.0000
In1 In 0.0000 0.0000 0.4074

What should be chosen as the most stable of them? Choose (P).